No. 1
The following is a GGA-PBE calculation of a relaxed structure of LaEr5Cd3, from Alexandria.

Lattice parameters (Å, degrees): 9.1870 9.1870 6.9421 90.00 90.00 120.00
Closest atoms and distances in Å follow each position.
Fractional coordinates of all 18 atoms:
La: 0.0000 0.0000 0.0000  2 La 3.47, 6 Er 3.54, 6 Cd 3.56
La: 0.0000 0.0000 0.5000  2 La 3.47, 6 Er 3.54, 6 Cd 3.56
Er: 0.0000 0.3359 0.2500  3 Cd 2.99-3.10
Er: 0.0000 0.6641 0.7500  3 Cd 2.99-3.10
Er: 0.3333 0.6667 0.0000  8 Er 3.47-3.51, 6 Cd 3.50
Er: 0.3333 0.6667 0.5000  8 Er 3.47-3.51, 6 Cd 3.50
Er: 0.3359 0.0000 0.2500  3 Cd 2.99-3.10
Er: 0.3359 0.3359 0.7500  3 Cd 2.99-3.10
Er: 0.6641 0.0000 0.7500  3 Cd 2.99-3.10
Er: 0.6641 0.6641 0.2500  3 Cd 2.99-3.10
Er: 0.6667 0.3333 0.0000  8 Er 3.47-3.51, 6 Cd 3.50
Er: 0.6667 0.3333 0.5000  8 Er 3.47-3.51, 6 Cd 3.50
Cd: 0.0000 0.3385 0.7500  3 Er 2.99-3.10
Cd: 0.0000 0.6615 0.2500  3 Er 2.99-3.10
Cd: 0.3385 0.0000 0.7500  3 Er 2.99-3.10
Cd: 0.3385 0.3385 0.2500  3 Er 2.99-3.10
Cd: 0.6615 0.0000 0.2500  3 Er 2.99-3.10
Cd: 0.6615 0.6615 0.7500  3 Er 2.99-3.10

Output
As for the total energy: -3.550 eV per atom. The density comes out at 8590 kg/m3. Its formation energy is -0.162 eV/atom.



No. 2
The following is a GGA-PBE calculation of a relaxed structure of La3ErCd2, from Alexandria.

Lattice parameters (Å, degrees): 3.8717 3.8717 12.7501 90.00 90.00 90.00
Closest atoms and distances in Å follow each position.
Fractional coordinates of all 6 atoms:
La: 0.0000 0.0000 0.0000  8 Cd 3.42
La: 0.0000 0.0000 0.3149  4 Cd 3.37, 4 Er 3.61
La: 0.0000 0.0000 0.6851  4 Cd 3.37, 4 Er 3.61
Er: 0.5000 0.5000 0.5000  8 La 3.61, 4 Er 3.87
Cd: 0.5000 0.5000 0.1606  8 La 3.37-3.42
Cd: 0.5000 0.5000 0.8394  8 La 3.37-3.42

Output
As for the total energy: -3.720 eV per atom. The density comes out at 7027 kg/m3. Its formation energy is -0.191 eV/atom.



No. 3
The following is a GGA-PBE calculation of a relaxed structure of LaEr5Cd6, from Alexandria.

Lattice parameters (Å, degrees): 8.3861 8.3861 7.5491 90.00 90.00 143.30
Closest atoms and distances in Å follow each position.
Fractional coordinates of all 12 atoms:
La: 0.0000 0.0000 0.0000  8 Cd 3.28-3.37
Er: 0.0000 0.0000 0.5000  8 Cd 3.21-3.28
Er: 0.3307 0.6693 0.0000  8 Cd 3.21-3.33
Er: 0.3375 0.6625 0.5000  8 Cd 3.17-3.20
Er: 0.6625 0.3375 0.5000  8 Cd 3.17-3.20
Er: 0.6693 0.3307 0.0000  8 Cd 3.21-3.33
Cd: 0.1717 0.8283 0.2603  7 Er 3.20-3.29, 1 La 3.37
Cd: 0.1717 0.8283 0.7397  7 Er 3.20-3.29, 1 La 3.37
Cd: 0.5000 0.5000 0.2584  6 Er 3.17-3.33, 2 La 3.28
Cd: 0.5000 0.5000 0.7416  6 Er 3.17-3.33, 2 La 3.28
Cd: 0.8283 0.1717 0.2603  7 Er 3.20-3.29, 1 La 3.37
Cd: 0.8283 0.1717 0.7397  7 Er 3.20-3.29, 1 La 3.37

Output
As for the total energy: -3.076 eV per atom. The density comes out at 8634 kg/m3. Its formation energy is -0.306 eV/atom.



No. 4
The following is a GGA-PBE calculation of a relaxed structure of LaEr2Cd3, from Alexandria.

Lattice parameters (Å, degrees): 3.7492 3.7492 11.5895 90.00 90.00 90.00
Closest atoms and distances in Å follow each position.
Fractional coordinates of all 6 atoms:
La: 0.0000 0.0000 0.0000  8 Cd 3.43, 4 La 3.75
Er: 0.0000 0.0000 0.3409  8 Cd 3.19-3.23
Er: 0.0000 0.0000 0.6591  8 Cd 3.19-3.23
Cd: 0.5000 0.5000 0.1879  4 Er 3.19, 4 La 3.43
Cd: 0.5000 0.5000 0.5000  8 Er 3.23
Cd: 0.5000 0.5000 0.8121  4 Er 3.19, 4 La 3.43

Output
As for the total energy: -3.114 eV per atom. The density comes out at 8263 kg/m3. Its formation energy is -0.314 eV/atom.



No. 5
The following is a GGA-PBE calculation of a relaxed structure of La2Er3Cd4, from Alexandria.

Lattice parameters (Å, degrees): 9.8443 9.8443 8.3088 90.00 90.00 139.01
Closest atoms and distances in Å follow each position.
Fractional coordinates of all 18 atoms:
La: 0.0929 0.9071 0.8998  7 Cd 3.40-3.76, 3 Er 3.66-3.74
La: 0.4071 0.5929 0.3998  7 Cd 3.40-3.76, 3 Er 3.66-3.74
La: 0.5929 0.4071 0.6002  7 Cd 3.40-3.76, 3 Er 3.66-3.74
La: 0.9071 0.0929 0.1002  7 Cd 3.40-3.76, 3 Er 3.66-3.74
Er: 0.0000 0.0000 0.5000  6 Cd 3.03-3.04
Er: 0.0043 0.4957 0.7500  5 Cd 3.10-3.16, 2 Er 3.45
Er: 0.4957 0.0043 0.2500  5 Cd 3.10-3.16, 2 Er 3.45
Er: 0.5000 0.5000 0.0000  6 Cd 3.03-3.04
Er: 0.5043 0.9957 0.7500  5 Cd 3.10-3.16, 2 Er 3.45
Er: 0.9957 0.5043 0.2500  5 Cd 3.10-3.16, 2 Er 3.45
Cd: 0.1646 0.8354 0.5116  5 Er 3.04-3.15, 2 Cd 3.23
Cd: 0.1754 0.3246 0.7500  3 Er 3.03-3.16, 2 Cd 3.23
Cd: 0.3246 0.1754 0.2500  3 Er 3.03-3.16, 2 Cd 3.23
Cd: 0.3354 0.6646 0.0116  5 Er 3.04-3.15, 2 Cd 3.23
Cd: 0.6646 0.3354 0.9884  5 Er 3.04-3.15, 2 Cd 3.23
Cd: 0.6754 0.8246 0.7500  3 Er 3.03-3.16, 2 Cd 3.23
Cd: 0.8246 0.6754 0.2500  3 Er 3.03-3.16, 2 Cd 3.23
Cd: 0.8354 0.1646 0.4884  5 Er 3.04-3.15, 2 Cd 3.23

Output
As for the total energy: -3.203 eV per atom. The density comes out at 7729 kg/m3. Its formation energy is -0.180 eV/atom.



No. 6
The following is a GGA-PBE calculation of a relaxed structure of LaErCd5, from Alexandria.

Lattice parameters (Å, degrees): 5.6064 5.6064 6.9428 99.62 99.62 113.60
Closest atoms and distances in Å follow each position.
Fractional coordinates of all 7 atoms:
La: 0.0000 0.0000 0.0000  10 Cd 3.21-3.47
Er: 0.5000 0.5000 0.5000  10 Cd 3.07-3.44
Cd: 0.0000 0.0000 0.5000  4 Cd 2.93, 2 Er 3.07
Cd: 0.0833 0.5102 0.7609  3 Cd 2.93-3.15, 1 Er 3.20, 1 La 3.21
Cd: 0.4898 0.9167 0.2391  3 Cd 2.93-3.15, 1 Er 3.20, 1 La 3.21
Cd: 0.5102 0.0833 0.7609  3 Cd 2.93-3.15, 1 Er 3.20, 1 La 3.21
Cd: 0.9167 0.4898 0.2391  3 Cd 2.93-3.15, 1 Er 3.20, 1 La 3.21

Output
As for the total energy: -2.127 eV per atom. The density comes out at 7571 kg/m3. Its formation energy is -0.118 eV/atom.



No. 7
The following is a GGA-PBE calculation of a relaxed structure of La7ErCd4, from Alexandria.

Lattice parameters (Å, degrees): 8.2197 8.2197 10.1635 120.29 120.29 42.81
Closest atoms and distances in Å follow each position.
Fractional coordinates of all 12 atoms:
La: 0.0000 0.0000 0.0000  2 Er 3.00, 4 Cd 3.09-3.30
La: 0.2387 0.2387 0.6977  4 Cd 3.12-3.36, 1 Er 3.48
La: 0.2905 0.2905 0.1034  6 La 3.48-3.78, 4 Cd 3.65-3.74, 1 Er 3.88
La: 0.4337 0.4337 0.5962  3 Cd 3.27-3.31, 3 La 3.50-3.65, 1 Er 3.66
La: 0.5663 0.5663 0.4038  3 Cd 3.27-3.31, 3 La 3.50-3.65, 1 Er 3.66
La: 0.7095 0.7095 0.8966  6 La 3.48-3.78, 4 Cd 3.65-3.74, 1 Er 3.88
La: 0.7613 0.7613 0.3023  4 Cd 3.12-3.36, 1 Er 3.48
Er: 0.5000 0.5000 0.0000  2 La 3.00
Cd: 0.0402 0.0402 0.7124  1 Cd 3.12, 4 La 3.12-3.31
Cd: 0.1821 0.1821 0.3469  5 La 3.09-3.36, 1 Cd 3.12
Cd: 0.8179 0.8179 0.6531  5 La 3.09-3.36, 1 Cd 3.12
Cd: 0.9598 0.9598 0.2876  1 Cd 3.12, 4 La 3.12-3.31

Output
As for the total energy: -3.609 eV per atom. The density comes out at 6728 kg/m3. Its formation energy is -0.050 eV/atom.



No. 8
The following is a GGA-PBE calculation of a relaxed structure of La2Er7Cd2, from Alexandria.

Lattice parameters (Å, degrees): 6.4630 6.4630 8.5431 102.42 102.42 97.87
Closest atoms and distances in Å follow each position.
Fractional coordinates of all 11 atoms:
La: 0.1811 0.8189 0.0000  2 Cd 3.27, 6 Er 3.40-3.49, 1 La 3.53
La: 0.8189 0.1811 0.0000  2 Cd 3.27, 6 Er 3.40-3.49, 1 La 3.53
Er: 0.0244 0.3783 0.6718  3 Cd 3.19-3.50, 1 La 3.40, 1 Er 3.45
Er: 0.3625 0.3625 0.0895  2 Er 3.18-3.31, 4 La 3.41-3.49, 1 Cd 3.41
Er: 0.3783 0.0244 0.6718  3 Cd 3.19-3.50, 1 La 3.40, 1 Er 3.45
Er: 0.5000 0.5000 0.5000  2 Cd 3.04, 2 Er 3.31
Er: 0.6217 0.9756 0.3282  3 Cd 3.19-3.50, 1 La 3.40, 1 Er 3.45
Er: 0.6375 0.6375 0.9105  2 Er 3.18-3.31, 4 La 3.41-3.49, 1 Cd 3.41
Er: 0.9756 0.6217 0.3282  3 Cd 3.19-3.50, 1 La 3.40, 1 Er 3.45
Cd: 0.1227 0.1227 0.3414  5 Er 3.04-3.22, 2 La 3.27
Cd: 0.8773 0.8773 0.6586  5 Er 3.04-3.22, 2 La 3.27

Output
As for the total energy: -3.996 eV per atom. The density comes out at 8320 kg/m3. Its formation energy is -0.030 eV/atom.